Entry a
Density functional theory data (PBE) for a geometry-optimized BaTeNF2 structure.

Results
magnetic moment = 0.00 μB/f.u.

Cell lengths 4.8692, 4.8692, 4.2120 Å; angles 90.00, 90.00, 90.00 degrees
With the nearest neighbours (Å) after each atom.
Space group P4/mmm (No. 123)
Symmetry-distinct sites (fractional):
Ba (0.0000, 0.0000, 0.0000) [1 per cell]  8 F 3.22, 4 N 3.44
Te (0.5000, 0.5000, 0.5000) [1 per cell]  2 N 2.11
N (0.5000, 0.5000, 0.0000) [1 per cell]  2 Te 2.11
F (0.0000, 0.5000, 0.5000) [2 per cell]  2 Te 2.43

Entry b
Density functional theory data (PBE) for a geometry-optimized BaTeNF2 structure.

Results
magnetic moment = 2.48 μB/f.u.

Cell lengths 4.8896, 4.8896, 5.9809 Å; angles 90.00, 90.00, 90.00 degrees
With the nearest neighbours (Å) after each atom.
Space group P4/mmm (No. 123)
Symmetry-distinct sites (fractional):
Ba (0.0000, 0.0000, 0.0000) [1 per cell]  4 F 2.44
Te (0.5000, 0.5000, 0.5000) [1 per cell]  4 N 3.46, 8 F 3.86
N (0.0000, 0.0000, 0.5000) [1 per cell]  2 Ba 2.99
F (0.0000, 0.5000, 0.0000) [2 per cell]  2 Ba 2.44

According to the calculations, the structures order from most to least stable as entry a, entry b.